No. 1
First-principles (PBE) data for a geometry-optimized HoMg3Pd4 structure, as listed in Alexandria via LeMat-Bulk.

POSCAR file:
```
HoMg3Pd4
1.0
4.665 0.000 0.000
0.000 4.665 0.000
0.000 0.000 6.455
Ho Mg Pd
1 3 4
Direct
0.000 0.000 0.000
0.000 0.000 0.500
0.500 0.500 0.000
0.500 0.500 0.500
0.000 0.500 0.263
0.000 0.500 0.737
0.500 0.000 0.263
0.500 0.000 0.737
```

Space-group type: P4/mmm
DOS(E_F): 0.39 states/eV/atom
Formation enthalpy at 0 K: -0.77 eV/atom

No. 2
First-principles (PBE) data for a geometry-optimized HoMg4Pd2 structure, as listed in Alexandria via LeMat-Bulk.

POSCAR file:
```
HoMg4Pd2
1.0
2.072 -8.388 0.000
2.072 8.388 0.000
0.000 0.000 4.229
Ho Mg Pd
1 4 2
Direct
0.000 0.000 0.000
0.177 0.823 0.500
0.325 0.675 0.000
0.675 0.325 0.000
0.823 0.177 0.500
0.422 0.578 0.500
0.578 0.422 0.500
```

Space-group type: Cmmm
E above lowest polymorph: 68 meV per atom
DOS(E_F): 0.50 states/eV/atom
Formation enthalpy at 0 K: -0.43 eV/atom

No. 3
First-principles (PBE) data for a geometry-optimized HoMgPd14 structure, as listed in Alexandria via LeMat-Bulk.

POSCAR file:
```
HoMgPd14
1.0
5.658 0.000 0.000
0.000 5.658 0.000
0.000 0.000 7.977
Ho Mg Pd
1 1 14
Direct
0.000 0.000 0.000
0.500 0.500 0.000
0.000 0.000 0.500
0.000 0.500 0.000
0.000 0.500 0.500
0.252 0.252 0.254
0.252 0.252 0.746
0.252 0.748 0.254
0.252 0.748 0.746
0.500 0.000 0.000
0.500 0.000 0.500
0.500 0.500 0.500
0.748 0.252 0.254
0.748 0.252 0.746
0.748 0.748 0.254
0.748 0.748 0.746
```

Space-group type: P4/mmm
DOS(E_F): 1.72 states/eV/atom
Formation enthalpy at 0 K: -0.33 eV/atom

No. 4
First-principles (PBE) data for a geometry-optimized Ho8Mg2Pd structure, as listed in Alexandria via LeMat-Bulk.

POSCAR file:
```
Ho8Mg2Pd
1.0
8.688 -2.719 0.000
8.688 2.719 0.000
-2.486 0.000 6.566
Ho Mg Pd
8 2 1
Direct
0.016 0.016 0.274
0.193 0.193 0.758
0.350 0.350 0.565
0.401 0.401 0.079
0.599 0.599 0.921
0.650 0.650 0.435
0.807 0.807 0.242
0.984 0.984 0.726
0.184 0.184 0.193
0.816 0.816 0.807
0.500 0.500 0.500
```

Space-group type: C2/m
DOS(E_F): 0.97 states/eV/atom
Formation enthalpy at 0 K: -0.11 eV/atom

No. 5
First-principles (PBE) data for a geometry-optimized Ho4MgPd structure, as listed in Alexandria via LeMat-Bulk.

POSCAR file:
```
Ho4MgPd
1.0
4.852 0.000 0.000
0.000 4.852 0.000
0.000 0.000 7.777
Ho Mg Pd
4 1 1
Direct
0.000 0.500 0.216
0.000 0.500 0.784
0.500 0.000 0.216
0.500 0.000 0.784
0.000 0.000 0.500
0.500 0.500 0.000
```

Space-group type: P4/mmm
E above lowest polymorph: 325 meV per atom
DOS(E_F): 0.99 states/eV/atom
Formation enthalpy at 0 K: -0.04 eV/atom

No. 6
First-principles (PBE) data for a geometry-optimized Ho3Mg2Pd6 structure, as listed in Alexandria via LeMat-Bulk.

POSCAR file:
```
Ho3Mg2Pd6
1.0
-4.799 4.799 4.799
4.799 -4.799 4.799
4.799 4.799 -4.799
Ho Mg Pd
6 4 12
Direct
0.000 0.304 0.304
0.000 0.696 0.696
0.304 0.000 0.304
0.304 0.304 0.000
0.696 0.000 0.696
0.696 0.696 0.000
0.000 0.000 0.500
0.000 0.500 0.000
0.500 0.000 0.000
0.500 0.500 0.500
0.000 0.338 0.662
0.000 0.662 0.338
0.324 0.662 0.662
0.338 0.000 0.662
0.338 0.338 0.676
0.338 0.662 0.000
0.338 0.676 0.338
0.662 0.000 0.338
0.662 0.324 0.662
0.662 0.338 0.000
0.662 0.662 0.324
0.676 0.338 0.338
```

Space-group type: Im-3m
DOS(E_F): 0.36 states/eV/atom
Formation enthalpy at 0 K: -0.79 eV/atom

No. 7
First-principles (PBE) data for a geometry-optimized HoMgPd structure, as listed in Alexandria via LeMat-Bulk.

POSCAR file:
```
HoMgPd
1.0
0.000 3.316 3.316
3.316 0.000 3.316
3.316 3.316 0.000
Ho Mg Pd
1 1 1
Direct
0.000 0.000 0.000
0.500 0.500 0.500
0.750 0.750 0.750
```

Space-group type: F-43m
DOS(E_F): 0.66 states/eV/atom
Formation enthalpy at 0 K: -0.54 eV/atom

No. 8
First-principles (PBE) data for a geometry-optimized HoMgPd structure, as listed in Alexandria via LeMat-Bulk.

POSCAR file:
```
HoMgPd
1.0
4.613 0.000 0.000
-2.307 3.995 0.000
0.000 0.000 3.567
Ho Mg Pd
1 1 1
Direct
0.000 0.000 0.000
0.333 0.667 0.500
0.667 0.333 0.500
```

Space-group type: P-6m2
DOS(E_F): 0.65 states/eV/atom
Formation enthalpy at 0 K: -0.49 eV/atom

| no. | DFT total energy (eV per atom) | volume (Å³ per cell) | magnetization (μB per atom) |
| --- | --- | --- | --- |
| 1 | -4.539 | 140.5 | 0.00 |
| 2 | -3.477 | 147.0 | 0.00 |
| 3 | -5.255 | 255.4 | 0.00 |
| 4 | -4.201 | 310.2 | 0.00 |
| 5 | -4.222 | 183.1 | 0.00 |
| 6 | -5.164 | 442.2 | 0.00 |
| 7 | -4.326 | 72.9 | 0.00 |
| 8 | -4.280 | 65.7 | 0.00 |